# 1
Below is an optimized crystal structure of Na2H6Os, with properties calculated at the PBE level.

Its density is 3.78 g/cm³. As for the total magnetization: 2.00 μB/f.u. Its total energy is -3.63 eV/atom. The calculation puts the density of states at the Fermi level at 0.46 states/eV/atom.

The space group is P4_2/mnm (No. 136) and the conventional cell measures 4.673, 4.673 and 9.739 Å, with angles of 90.00, 90.00 and 90.00 degrees. Symmetry generates all atoms from Na at (0.000, 0.000, 0.164), H at (0.169, 0.169, 0.366), H at (0.241, 0.241, 0.000) and Os at (0.000, 0.000, 0.500).

# 2
Below is an optimized crystal structure of LiSi3W, with properties calculated at the PBE level.

Its density is 6.26 g/cm³. As for the total magnetization: 0.00 μB/f.u. For the energy relative to the elements, uncorrected, the calculation gives 1288 meV per atom. The calculation puts the density of states at the Fermi level at 0.99 states/eV/atom.

The space group is Pm-3m (No. 221) and the conventional cell measures 4.178, 4.178 and 4.178 Å, with angles of 90.00, 90.00 and 90.00 degrees. Symmetry generates all atoms from Li at (0.000, 0.000, 0.000), Si at (0.000, 0.000, 0.500) and W at (0.500, 0.500, 0.500).

# 3
Below is an optimized crystal structure of PaTiTcPd, with properties calculated at the PBE level.

Its density is 10.99 g/cm³. As for the total magnetization: 1.04 μB/f.u. The calculation puts the density of states at the Fermi level at 1.38 states/eV/atom. The value obtained for the formation energy is -0.31 eV per atom.

The space group is F-43m (No. 216) and the conventional cell measures 6.635, 6.635 and 6.635 Å, with angles of 90.00, 90.00 and 90.00 degrees. Symmetry generates all atoms from Pa at (0.000, 0.000, 0.000), Ti at (0.000, 0.000, 0.500), Tc at (0.250, 0.250, 0.250) and Pd at (0.250, 0.250, 0.750).

# 4
Below is an optimized crystal structure of K2AlW, with properties calculated at the PBE level.

Its density is 3.71 g/cm³. As for the total magnetization: 1.20 μB/f.u. The calculation puts the density of states at the Fermi level at 0.97 states/eV/atom. The value obtained for the formation energy is 0.78 eV per atom.

The space group is Pmm2 (No. 25) and the conventional cell measures 2.931, 4.287 and 10.289 Å, with angles of 90.00, 90.00 and 90.00 degrees. Symmetry generates all atoms from K at (0.000, 0.000, 0.000), K at (0.500, 0.500, 0.409), Al at (0.500, 0.500, 0.737) and W at (0.000, 0.000, 0.672).

# 5
Below is an optimized crystal structure of Ca2TlCo, with properties calculated at the PBE level.

Its density is 5.67 g/cm³. As for the total magnetization: 0.98 μB/f.u. The calculation puts the density of states at the Fermi level at 1.15 states/eV/atom. The value obtained for the formation energy is 0.10 eV per atom.

The space group is Cmmm (No. 65) and the conventional cell measures 7.203, 7.212 and 3.872 Å, with angles of 90.00, 90.00 and 90.00 degrees. Symmetry generates all atoms from Ca at (0.250, 0.250, 0.000), Tl at (0.000, 0.000, 0.500) and Co at (0.000, 0.500, 0.500).

# 6
Below is an optimized crystal structure of CrGePdAu, with properties calculated at the PBE level.

Its density is 11.05 g/cm³. As for the total magnetization: 3.39 μB/f.u. The calculation puts the density of states at the Fermi level at 0.83 states/eV/atom. The value obtained for the formation energy is -0.02 eV per atom.

The space group is F-43m (No. 216) and the conventional cell measures 6.360, 6.360 and 6.360 Å, with angles of 90.00, 90.00 and 90.00 degrees. Symmetry generates all atoms from Cr at (0.000, 0.000, 0.000), Ge at (0.250, 0.250, 0.250), Pd at (0.000, 0.000, 0.500) and Au at (0.250, 0.250, 0.750).